[1]
DFT (GGA+U) results for LiMnI2O8 after structural relaxation.

extended XYZ file:
```
12
Lattice="6.0471 0.2465 0.0000 -2.4611 5.5292 0.0000 -1.7930 -2.8878 5.0074" Properties=species:S:1:pos:R:3 pbc="T T T"
Li -1.2306 2.7646 2.5037
Mn 0.0000 0.0000 0.0000
I 3.0236 0.1233 2.5037
I 1.7930 2.8878 0.0000
O 1.5183 -0.3479 1.4734
O 0.3510 2.4222 0.9795
O 0.2223 -1.4990 4.0279
O 3.2689 -1.4348 3.5340
O 3.2351 3.3534 0.9795
O 4.5288 0.5944 1.4734
O 2.7783 1.6813 3.5340
O -0.2223 1.4990 4.0279
```

Properties
Total magnetic moment, μB/f.u.: 4.3
Calculated total energy, eV per cell: -58.4
Symmetry: I-4m2, No. 119

=====

[2]
DFT (GGA+U) results for LiMn2IO6 after structural relaxation.

extended XYZ file:
```
10
Lattice="5.3885 -0.0002 0.0000 2.6943 4.6668 0.0010 2.6953 1.5550 4.7639" Properties=species:S:1:pos:R:3 pbc="T T T"
Li 8.0830 4.6657 2.7811
Mn 5.3887 3.1108 1.9779
Mn 2.6954 1.5550 4.7026
I 2.6945 1.5555 0.1802
O 4.7373 1.4068 1.0735
O 4.2385 4.5273 1.0744
O 7.1901 3.3990 1.0743
O 5.9733 4.5403 3.6778
O 6.3357 1.8904 3.6773
O 3.8600 2.9014 3.6772
```

Properties
Total magnetic moment, μB/f.u.: 8.0
Calculated total energy, eV per cell: -59.7
Symmetry: R3, No. 146

=====

[3]
DFT (GGA+U) results for LiMnI2O after structural relaxation.

extended XYZ file:
```
5
Lattice="-3.1312 0.3204 4.5097 1.9580 -4.8484 1.7039 2.8377 1.7936 1.8428" Properties=species:S:1:pos:R:3 pbc="T T T"
I 0.9790 -2.4242 0.8520
I -1.5656 0.1602 2.2548
Mn 0.8322 -1.3672 4.0282
O 1.4188 0.8968 0.9214
Li 0.0000 0.0000 0.0000
```

Properties
Excess energy over the best structure of this formula in the dataset, eV/atom: 0.546
Total magnetic moment, μB/f.u.: 4.0
Symmetry: P4/mmm, No. 123

=====

[4]
DFT (GGA+U) results for LiMnI2O after structural relaxation.

extended XYZ file:
```
5
Lattice="-5.3084 -0.6623 2.4446 0.4913 -5.8384 -0.5148 1.5859 -0.1662 3.3988" Properties=species:S:1:pos:R:3 pbc="T T T"
I 0.2457 -2.9192 -0.2574
I -2.6542 -0.3311 1.2223
Mn 0.0000 0.0000 0.0000
O 0.7930 -0.0831 1.6994
Li -1.6156 -3.3334 2.6643
```

Properties
Excess energy over the best structure of this formula in the dataset, eV/atom: 0.000
Total magnetic moment, μB/f.u.: 4.1
Symmetry: P4/mmm, No. 123

=====

[5]
DFT (GGA+U) results for LiMnIO2 after structural relaxation.

extended XYZ file:
```
5
Lattice="-1.2460 1.4531 3.5443 -3.8274 -0.6243 -1.0895 0.2022 -4.7926 2.0360" Properties=species:S:1:pos:R:3 pbc="T T T"
I 0.1011 -2.3963 1.0180
Mn -2.4356 -1.9819 2.2454
O -1.9137 -0.3122 -0.5448
O -0.6230 0.7266 1.7721
Li 0.0000 0.0000 0.0000
```

Properties
Excess energy over the best structure of this formula in the dataset, eV/atom: 0.825
Total magnetic moment, μB/f.u.: 3.0
Symmetry: P4/mmm, No. 123

=====

[6]
DFT (GGA+U) results for LiMnIO2 after structural relaxation.

extended XYZ file:
```
5
Lattice="-3.1841 -1.6696 -1.2732 1.3039 0.2404 -3.5761 2.8472 -5.9181 0.6402" Properties=species:S:1:pos:R:3 pbc="T T T"
I 1.4236 -2.9591 0.3201
Mn 0.0000 0.0000 0.0000
O 0.6519 0.1202 -1.7881
O -1.5920 -0.8348 -0.6366
Li 0.4835 -3.6736 -2.1046
```

Properties
Excess energy over the best structure of this formula in the dataset, eV/atom: 0.000
Total magnetic moment, μB/f.u.: 3.0
Symmetry: P4/mmm, No. 123

=====

For reference, mass density by record: 4.32 4.71 4.76 4.24 4.34 3.82 g cm⁻³.